# 1
The following is a DFT calculation (PBE) of a geometry-optimized Na2SnHg structure.

Cell lengths 3.4922, 3.4922, 10.5594 Å; angles 80.48, 80.48, 60.00 degrees
Element x y z (fractional)
Na  0.2512  0.2512  0.2465
Sn  0.4999  0.4999  0.5004
Na  0.0821  0.0821  0.7538
Hg  0.6669  0.6669  0.9993

Computed properties:
Final energy: -1.86 eV per atom
Energy of formation from the pure elements: -127 meV per atom
Fermi-level density of states: 2.336 states/eV/cell

# 2
The following is a DFT calculation (PBE) of a geometry-optimized Na3Sn2Hg2 structure.

Cell lengths 5.1446, 3.3063, 11.2752 Å; angles 98.43, 103.19, 90.00 degrees
Element x y z (fractional)
Na  0.7035  0.2035  0.4069
Hg  0.1491  0.6491  0.2983
Sn  0.5714  0.5714  0.1427
Hg  0.8509  0.3509  0.7017
Na  0.0000  0.0000  0.0000
Sn  0.4286  0.4286  0.8573
Na  0.2965  0.7965  0.5931

Computed properties:
Final energy: -1.98 eV per atom
Energy of formation from the pure elements: -186 meV per atom
Offset from the most stable computed form: 0 meV/atom
Fermi-level density of states: 2.455 states/eV/cell

# 3
The following is a DFT calculation (PBE) of a geometry-optimized Na2SnHg6 structure.

Cell lengths 5.3075, 9.1571, 9.4795 Å; angles 90.00, 89.95, 90.00 degrees
Element x y z (fractional)
Hg  0.4997  0.1640  0.9153
Hg  0.5003  0.8360  0.0847
Hg  0.9997  0.0009  0.8335
Hg  0.5001  0.8304  0.4135
Sn  0.0000  0.0000  0.5000
Hg  0.9999  0.3304  0.0865
Na  0.0001  0.3349  0.7531
Sn  0.5000  0.5000  0.0000
Hg  0.5003  0.5009  0.6665
Hg  0.0003  0.9991  0.1665
Na  0.4999  0.8349  0.7469
Hg  0.4999  0.1696  0.5865
Hg  0.0003  0.6640  0.5847
Hg  0.9997  0.3360  0.4153
Hg  0.0001  0.6696  0.9135
Hg  0.4997  0.4991  0.3335
Na  0.9999  0.6651  0.2469
Na  0.5001  0.1651  0.2531

Computed properties:
Final energy: -1.09 eV per atom
Energy of formation from the pure elements: -154 meV per atom
Offset from the most stable computed form: 0 meV/atom
Fermi-level density of states: 5.482 states/eV/cell

# 4
The following is a DFT calculation (PBE) of a geometry-optimized Na2SnHg structure.

Cell lengths 5.1932, 5.1932, 5.1932 Å; angles 60.00, 60.00, 60.00 degrees
Element x y z (fractional)
Sn  0.0000  0.0000  0.0000
Hg  0.2500  0.2500  0.2500
Na  0.5000  0.5000  0.5000
Na  0.7500  0.7500  0.7500

Computed properties:
Final energy: -1.94 eV per atom
Energy of formation from the pure elements: -200 meV per atom
Fermi-level density of states: 1.127 states/eV/cell

# 5
The following is a DFT calculation (PBE) of a geometry-optimized Na2Sn6Hg structure.

Cell lengths 3.2102, 9.7808, 9.7808 Å; angles 58.75, 71.60, 71.60 degrees
Element x y z (fractional)
Na  0.3894  0.3326  0.3326
Sn  0.8953  0.6694  0.9994
Sn  0.5561  0.6647  0.3353
Na  0.7215  0.6674  0.6674
Sn  0.2153  0.3306  0.0006
Sn  0.8953  0.9994  0.6694
Sn  0.2153  0.0006  0.3306
Sn  0.5561  0.3353  0.6647
Hg  0.5555  0.0000  0.0000

Computed properties:
Final energy: -3.08 eV per atom
Energy of formation from the pure elements: -84 meV per atom
Fermi-level density of states: 2.791 states/eV/cell

# 6
The following is a DFT calculation (PBE) of a geometry-optimized Na2SnHg structure.

Cell lengths 8.5984, 8.5984, 6.8242 Å; angles 50.95, 50.95, 90.00 degrees
Element x y z (fractional)
Hg  0.7500  0.2500  0.5000
Na  0.6382  0.1250  0.2500
Sn  0.2500  0.7500  0.5000
Na  0.3750  0.3618  0.7500
Na  0.1118  0.6250  0.2500
Na  0.8750  0.8882  0.7500
Sn  0.5000  0.5000  0.0000
Hg  0.0000  0.0000  0.0000

Computed properties:
Final energy: -1.78 eV per atom
Energy of formation from the pure elements: -48 meV per atom
Fermi-level density of states: 3.294 states/eV/cell

# 7
The following is a DFT calculation (PBE) of a geometry-optimized Na5SnHg6 structure.

Cell lengths 5.1849, 7.7482, 8.9801 Å; angles 115.56, 106.78, 90.00 degrees
Element x y z (fractional)
Hg  0.1693  0.9193  0.3386
Na  0.0000  0.5000  0.0000
Na  0.6653  0.6653  0.3307
Na  0.3366  0.8366  0.6731
Hg  0.8307  0.0807  0.6614
Sn  0.0000  0.0000  0.0000
Na  0.3347  0.3347  0.6693
Hg  0.8306  0.5807  0.6614
Hg  0.4997  0.7459  0.0000
Na  0.6634  0.1634  0.3269
Hg  0.5003  0.2541  0.0000
Hg  0.1694  0.4193  0.3386

Computed properties:
Final energy: -1.26 eV per atom
Energy of formation from the pure elements: -223 meV per atom
Fermi-level density of states: 5.125 states/eV/cell

# 8
The following is a DFT calculation (PBE) of a geometry-optimized NaSn3Hg2 structure.

Cell lengths 5.6295, 5.6295, 11.2096 Å; angles 106.90, 106.90, 89.86 degrees
Element x y z (fractional)
Sn  0.7855  0.4655  0.5684
Hg  0.3082  0.0730  0.5854
Sn  0.2145  0.5345  0.4316
Sn  0.3845  0.6155  0.7500
Hg  0.6918  0.9270  0.4146
Hg  0.9270  0.6918  0.9146
Sn  0.5345  0.2145  0.9316
Na  0.0768  0.9232  0.2500
Hg  0.0730  0.3082  0.0854
Na  0.9232  0.0768  0.7500
Sn  0.6155  0.3845  0.2500
Sn  0.4655  0.7855  0.0684

Computed properties:
Final energy: -2.37 eV per atom
Energy of formation from the pure elements: -52 meV per atom
Offset from the most stable computed form: 13 meV/atom
Fermi-level density of states: 3.434 states/eV/cell

What is the formula in the first record?
Na2SnHg